! PBEsol DyY7O12, optimized geometry; values from VASP
! **Formation energy without anion corrections**: -3.64 eV/atom
! **SG**: I2_12_12_1 (24)
&SYSTEM
  ibrav = 0, nat = 40, ntyp = 3
/
ATOMIC_SPECIES
Dy 162.50 Dy.upf
Y 88.91 Y.upf
O 16.00 O.upf
CELL_PARAMETERS angstrom
9.1278 0.0005 -0.0002
-3.0405 8.6065 0.0002
3.0440 4.3033 7.4520
ATOMIC_POSITIONS angstrom
Dy 10.4509 5.0971 5.5889
Dy 4.7646 3.5102 1.8630
Y 4.3675 9.4012 5.5891
Y 4.5661 6.4559 3.7263
Y 1.3245 8.7475 3.9700
Y 4.7650 6.3142 7.2081
Y 4.7653 9.5421 2.1066
Y 7.8074 7.3906 5.8324
Y 1.5227 8.6063 0.0002
Y 7.6091 10.7579 3.7259
Y 1.5243 8.6071 7.4518
Y -1.3203 7.8121 1.8631
Y 1.3238 5.5199 1.6195
Y 4.3662 3.3682 5.3456
Y 7.8066 4.1631 3.4824
Y 4.3667 6.5959 0.2435
O 8.1410 8.5647 3.9589
O 5.6130 7.5324 5.4269
O 5.6121 4.4428 3.8091
O 0.7257 3.9872 0.0820
O 8.1398 5.1997 5.4356
O 0.8551 1.3509 1.7099
O 2.3217 12.6804 7.2192
O 2.1906 9.9529 5.7512
O 0.9915 7.3088 5.6695
O 5.6126 7.3908 1.9427
O 5.3632 10.6713 4.0407
O 3.8978 2.1456 0.3149
O 5.2333 10.7631 7.1375
O 8.1409 5.6026 1.7833
O 3.7667 2.2383 3.4110
O 3.5194 5.5210 5.5086
O 6.9397 2.9591 1.7016
O 6.8098 0.2289 0.2310
O 0.9906 7.7112 2.0162
O 8.2771 11.5587 5.7424
O 3.5195 8.4675 3.6441
O 8.4055 8.9233 7.3689
O 0.9894 4.3455 3.4950
O 3.5203 5.3774 2.0244

=====

! PBEsol Dy3Y5O12, optimized geometry; values from VASP
! **Formation energy without anion corrections**: -3.64 eV/atom
! **SG**: P1 (1)
&SYSTEM
  ibrav = 0, nat = 40, ntyp = 3
/
ATOMIC_SPECIES
Dy 162.50 Dy.upf
Y 88.91 Y.upf
O 16.00 O.upf
CELL_PARAMETERS angstrom
-8.6910 1.0352 -2.5866
0.3222 -4.8902 7.7007
3.7390 8.2007 1.4449
ATOMIC_POSITIONS angstrom
Dy -1.2981 5.1427 1.7528
Dy -3.3311 -0.7975 4.8064
Dy 2.8836 2.7860 6.8217
Dy -1.9596 -0.8560 1.5783
Dy -4.7015 3.5455 0.4085
Dy -1.5119 2.1823 -0.1177
Y -3.1190 2.1630 6.6777
Y -0.2851 3.8276 7.8516
Y -2.6696 5.2016 4.9817
Y 0.0709 0.7996 6.1498
Y -7.5144 1.5615 -0.2632
Y -2.3152 2.1731 3.2804
Y -6.4996 0.2451 5.8358
Y 1.0658 4.0895 4.1205
Y -5.6959 0.2560 2.4384
Y 0.1615 -2.4445 3.8513
O -2.5700 6.4628 3.0377
O -1.5431 6.6521 0.1182
O 1.4426 8.2260 0.9920
O -1.9179 0.9216 5.1312
O 0.8733 5.4480 2.2511
O 0.8149 -0.3346 4.3721
O -3.7347 3.1537 4.7523
O -6.3630 1.6594 4.0675
O -5.3482 1.3953 0.5441
O -1.1453 4.0491 3.7923
O -4.7666 7.7368 0.6455
O 0.0470 -0.8454 7.6847
O -4.6757 5.1893 -1.1254
O 0.1374 -3.3883 5.9143
O -3.4827 0.2950 2.7668
O 0.7162 2.9516 6.0128
O 1.7328 2.6853 2.4922
O -0.8959 1.1915 1.8046
O -5.5024 -1.1034 4.3066
O -5.4457 4.6817 2.1892
O -2.7123 3.4251 1.4302
O -6.0725 -3.8812 5.5639
O -2.0602 -2.1179 3.5214
O -3.0853 -2.3068 6.4431

=====

! PBEsol Dy2Zr8O19, optimized geometry; values from VASP
! **Formation energy without anion corrections**: -3.44 eV/atom
! **SG**: P-4m2 (115)
&SYSTEM
  ibrav = 0, nat = 29, ntyp = 3
/
ATOMIC_SPECIES
Dy 162.50 Dy.upf
Zr 91.22 Zr.upf
O 16.00 O.upf
CELL_PARAMETERS angstrom
3.6055 0.0000 0.0000
0.0000 3.6055 0.0000
0.0000 0.0000 25.8439
ATOMIC_POSITIONS angstrom
Dy 1.8028 0.0000 24.3363
Dy 0.0000 1.8028 1.5076
Zr 1.8028 0.0000 4.0190
Zr 0.0000 1.8028 6.5752
Zr 1.8028 0.0000 9.1224
Zr 0.0000 1.8028 11.6575
Zr 1.8028 0.0000 14.1865
Zr 1.8028 0.0000 19.2687
Zr 0.0000 1.8028 16.7216
Zr 0.0000 1.8028 21.8249
O 1.8028 1.8028 5.1155
O 0.0000 0.0000 7.9879
O 1.8028 1.8028 10.3052
O 0.0000 0.0000 12.9220
O 1.8028 1.8028 15.5387
O 0.0000 0.0000 17.8560
O 1.8028 1.8028 20.7285
O 0.0000 0.0000 20.3700
O 0.0000 0.0000 22.9125
O 1.8028 1.8028 23.2886
O 0.0000 0.0000 0.0000
O 0.0000 0.0000 2.9315
O 1.8028 1.8028 2.5554
O 0.0000 0.0000 5.4740
O 1.8028 1.8028 7.7017
O 0.0000 0.0000 10.4677
O 1.8028 1.8028 12.9220
O 0.0000 0.0000 15.3762
O 1.8028 1.8028 18.1423

=====

! PBEsol Dy2Zr2O7, optimized geometry; values from VASP
! **Formation energy without anion corrections**: -3.45 eV/atom
! **SG**: P4_12_12 (92)
&SYSTEM
  ibrav = 0, nat = 44, ntyp = 3
/
ATOMIC_SPECIES
Dy 162.50 Dy.upf
Zr 91.22 Zr.upf
O 16.00 O.upf
CELL_PARAMETERS angstrom
-5.8020 2.2339 3.6339
-4.2646 -3.1732 -4.8583
0.1632 -10.5143 6.7241
ATOMIC_POSITIONS angstrom
Dy -4.2258 -0.3721 2.6430
Dy -7.1276 -10.6344 4.0433
Dy -6.5576 -3.0165 3.9045
Dy -7.6150 -1.2707 0.8678
Dy -2.3324 -7.3490 2.8196
Dy -3.3082 -10.8604 3.1449
Dy -2.7319 -3.6530 3.2687
Dy -5.7153 -8.6582 1.3069
Zr -4.9992 -6.0942 4.3769
Zr -5.1756 -9.3754 6.4341
Zr -8.8376 -4.5196 1.1400
Zr -8.8217 -7.6576 3.4163
Zr -1.1127 -1.7987 0.8061
Zr -1.0348 -8.9312 5.6369
Zr -4.6773 -5.3382 1.1504
Zr -4.9548 -2.0994 -0.9621
O -5.0004 -4.3776 2.8930
O -6.8909 -2.0834 -1.3742
O -5.2392 -0.9236 0.6506
O -4.1998 -9.0083 8.1411
O -4.2379 -2.1643 4.2272
O -7.1780 -8.6859 2.9252
O -5.1448 -7.5330 5.7224
O -8.4541 -6.0536 2.3238
O -6.4191 -4.8994 5.1231
O -7.1178 -9.7532 6.3746
O -7.5736 -3.2200 1.9848
O -9.1922 -2.6468 -0.0911
O -6.6576 -0.8300 2.9395
O -9.1112 -9.5905 4.5691
O -0.7645 -3.6490 2.0727
O -3.2700 -9.0657 1.5639
O -0.7389 -7.0208 4.4487
O -2.3152 -9.1809 4.1208
O -2.7283 -5.3997 1.4909
O -3.5513 -2.2444 -2.3796
O -1.5309 -0.1428 -0.1862
O -4.7587 -3.9205 -0.2227
O -2.7402 -1.8203 1.9686
O -5.6414 -10.8471 2.2688
O -5.6367 -6.7550 0.1148
O -4.7181 -7.0587 2.6292
O -3.0700 -5.6708 4.5081
O -4.8492 -10.5472 4.8266

=====

! PBEsol Dy2Zr2O7, optimized geometry; values from VASP
! **Formation energy without anion corrections**: -3.53 eV/atom
! **SG**: Fd-3m (227)
&SYSTEM
  ibrav = 0, nat = 22, ntyp = 3
/
ATOMIC_SPECIES
Dy 162.50 Dy.upf
Zr 91.22 Zr.upf
O 16.00 O.upf
CELL_PARAMETERS angstrom
7.3695 0.0000 0.0000
3.6848 6.3822 0.0000
3.6848 2.1274 6.0172
ATOMIC_POSITIONS angstrom
Dy 5.5272 1.0637 0.7522
Dy 1.8424 1.0637 0.7522
Dy 3.6848 2.1274 3.7608
Dy 3.6848 4.2548 0.7522
Zr 7.3695 2.1274 3.7608
Zr 7.3695 4.2548 0.7522
Zr 9.2119 5.3185 3.7608
Zr 5.5272 5.3185 3.7608
O 0.0000 0.0000 0.0000
O 3.6848 2.1274 1.5043
O 7.3695 2.4107 1.7046
O 5.7725 3.3327 4.3126
O 8.9666 3.3327 4.3126
O 8.9666 5.1769 1.7046
O 5.7725 5.1769 1.7046
O 11.0543 4.5381 3.2089
O 7.3695 6.0989 4.3126
O 12.6514 5.4602 5.8169
O 9.4573 7.3043 3.2089
O 9.4573 5.4602 5.8169
O 12.6514 7.3043 3.2089
O 11.0543 8.2263 5.8169

=====

! PBEsol Dy2Zr2O7, optimized geometry; values from VASP
! **Formation energy without anion corrections**: -3.52 eV/atom
! **SG**: P2_1 (4)
&SYSTEM
  ibrav = 0, nat = 44, ntyp = 3
/
ATOMIC_SPECIES
Dy 162.50 Dy.upf
Zr 91.22 Zr.upf
O 16.00 O.upf
CELL_PARAMETERS angstrom
5.4623 0.0000 0.0000
0.0000 7.7541 -0.0040
0.0000 -2.0077 13.4113
ATOMIC_POSITIONS angstrom
Dy 0.9333 5.8257 5.9020
Dy 3.9517 5.7527 0.9562
Dy 1.4077 3.7915 11.6161
Dy 4.0196 3.7459 8.1037
Dy 1.2885 2.0005 5.3036
Dy 4.1389 1.9549 1.7912
Dy 1.2205 -0.0063 12.4511
Dy 3.6645 -0.0793 7.5052
Zr 1.2732 5.8115 9.1206
Zr 4.0346 5.7777 11.8085
Zr 3.9463 3.9078 4.4030
Zr 1.2932 3.8727 1.7142
Zr 4.0243 1.8737 11.6930
Zr 1.2152 1.8386 9.0043
Zr 1.3035 -0.0313 1.5987
Zr 4.0044 -0.0651 4.2866
O 5.1682 5.9704 7.8148
O 0.4511 -1.6233 11.0802
O 4.7217 5.7817 4.3545
O 0.6476 5.7950 1.5468
O 2.4842 5.4371 7.5669
O 2.4633 5.2188 13.1151
O 2.9233 5.1294 10.3053
O 2.0979 4.1716 5.0290
O 3.2167 4.1717 2.3172
O 4.7203 3.8085 12.2510
O 0.5159 3.8384 9.4164
O 5.0368 3.5568 6.0876
O 5.2208 3.3813 0.3256
O 0.1449 3.1915 3.1724
O 2.8760 2.5549 10.2349
O 2.4897 2.3651 13.0816
O 2.3057 2.1896 7.3197
O 3.2470 1.9081 3.9909
O 1.9892 1.9379 1.1562
O 0.4856 1.5748 11.0901
O 4.8290 1.5749 8.3782
O 0.1922 0.6170 3.1020
O 5.1944 0.5276 0.2921
O 5.2154 0.3094 5.8404
O 3.3788 -0.0486 11.8605
O 1.9905 -0.0352 9.0527
O 3.1822 7.3698 2.3271
O 2.4371 -0.2240 5.5925

=====

! PBEsol DyOs2, optimized geometry; values from VASP
! **DFT total energy**: -10.1044 eV/atom
! **SG**: P6_3/mmc (194)
&SYSTEM
  ibrav = 0, nat = 12, ntyp = 2
/
ATOMIC_SPECIES
Os 190.23 Os.upf
Dy 162.50 Dy.upf
CELL_PARAMETERS angstrom
-3.9539 -0.5227 -3.4042
3.4292 -3.9122 0.6562
-5.0495 -3.3558 6.3802
ATOMIC_POSITIONS angstrom
Os -3.2904 -3.9444 4.4274
Os -1.6206 -5.8494 4.7469
Os -2.0283 -1.6868 0.5429
Os -2.2839 -3.8463 -0.7952
Os -3.5459 -6.1039 3.0893
Os 0.0000 0.0000 0.0000
Os -3.9536 -1.9414 -1.1147
Os -2.5248 -1.6779 3.1901
Dy -1.2273 -4.2415 2.0768
Dy -4.3469 -3.5493 1.5554
Dy -6.2131 -4.7895 3.9134
Dy 0.6389 -3.0012 -0.2812

=====

! PBEsol DySi2Os2, optimized geometry; values from VASP
! **Formation energy without anion corrections**: -0.75 eV/atom
! **SG**: I4/mmm (139)
&SYSTEM
  ibrav = 0, nat = 5, ntyp = 3
/
ATOMIC_SPECIES
Si 28.09 Si.upf
Os 190.23 Os.upf
Dy 162.50 Dy.upf
CELL_PARAMETERS angstrom
-2.6814 1.6029 -2.6823
-3.1111 -1.0401 2.4886
3.2367 3.9829 2.3047
ATOMIC_POSITIONS angstrom
Si 0.2545 3.1873 1.6502
Si -2.8103 1.3584 0.4608
Os -1.3853 1.6121 2.3482
Os -1.1705 2.9336 -0.2372
Dy 0.0000 0.0000 0.0000

=====

! PBEsol Dy5Sn18Os6, optimized geometry; values from VASP
! **DFT total energy**: -6.3703 eV/atom
! **SG**: F-43m (216)
&SYSTEM
  ibrav = 0, nat = 29, ntyp = 3
/
ATOMIC_SPECIES
Dy 162.50 Dy.upf
Sn 118.71 Sn.upf
Os 190.23 Os.upf
CELL_PARAMETERS angstrom
9.7411 0.0000 0.0000
4.8706 8.4361 0.0000
4.8706 2.8120 7.9536
ATOMIC_POSITIONS angstrom
Dy 0.0000 0.0000 0.0000
Dy 7.2449 7.0653 4.9959
Dy 12.2374 7.0653 4.9959
Dy 9.7411 2.7416 4.9959
Dy 9.7411 5.6241 0.9195
Sn 11.5804 4.5622 3.2259
Sn 7.9019 4.5622 3.2259
Sn 9.7411 7.7478 3.2259
Sn 9.7411 5.6240 6.2294
Sn 4.8706 2.8120 1.9884
Sn 3.4031 0.0213 0.0150
Sn 6.5537 1.8403 5.1600
Sn 6.5537 5.4783 0.0150
Sn 6.3381 0.0213 0.0150
Sn 3.1875 5.4783 0.0150
Sn 3.1875 1.8403 5.1600
Sn 4.8706 4.7555 5.1600
Sn 1.7199 2.9365 0.0150
Sn 8.0212 2.9365 0.0150
Sn 4.8706 6.4501 2.7636
Sn 8.0212 0.9930 2.7636
Sn 1.7199 0.9930 2.7636
Sn 14.6117 8.4361 5.9652
Os 7.3606 6.9984 2.0331
Os 7.3606 4.2496 5.9205
Os 9.7411 8.3728 5.9205
Os 12.1217 4.2496 5.9205
Os 12.1217 6.9984 2.0331
Os 9.7411 2.8752 2.0331

=====

! PBEsol DyP5, optimized geometry; values from VASP
! **DFT total energy**: -6.2046 eV/atom
! **SG**: P2_1/m (11)
&SYSTEM
  ibrav = 0, nat = 12, ntyp = 2
/
ATOMIC_SPECIES
P 30.97 P.upf
Dy 162.50 Dy.upf
CELL_PARAMETERS angstrom
4.8460 -0.0388 0.0000
-1.1503 5.1597 0.0000
0.0000 0.0000 9.3319
ATOMIC_POSITIONS angstrom
P 0.2674 4.6176 6.9989
P 3.4283 0.5033 2.3330
P 1.8951 4.9278 5.5368
P 1.8006 0.1931 0.8708
P 1.8006 0.1931 3.7951
P 1.8951 4.9278 8.4610
P 2.7971 3.0458 4.9568
P 0.8986 2.0752 0.2909
P 0.8986 2.0752 4.3751
P 2.7971 3.0458 9.0410
Dy -0.3530 1.8054 6.9989
Dy 4.0487 3.3156 2.3330

=====

! PBEsol Dy3P6Pd20, optimized geometry; values from VASP
! **DFT total energy**: -6.6058 eV/atom
! **SG**: Fm-3m (225)
&SYSTEM
  ibrav = 0, nat = 29, ntyp = 3
/
ATOMIC_SPECIES
Dy 162.50 Dy.upf
P 30.97 P.upf
Pd 106.42 Pd.upf
CELL_PARAMETERS angstrom
8.5368 0.0000 0.0000
4.2684 7.3931 0.0000
4.2684 2.4644 6.9702
ATOMIC_POSITIONS angstrom
Dy 4.2684 2.4644 1.7426
Dy 12.8051 7.3931 5.2277
Dy 0.0000 0.0000 0.0000
P 8.5368 2.5920 1.8328
P 8.5368 7.2654 5.1374
P 10.5604 3.7604 5.1374
P 6.5131 6.0970 1.8328
P 10.5604 6.0970 1.8328
P 6.5131 3.7604 5.1374
Pd 10.5084 3.7904 2.6802
Pd 6.5651 6.0671 4.2901
Pd 8.5368 7.2054 2.6802
Pd 8.5368 4.9287 5.8999
Pd 8.5368 2.6520 4.2901
Pd 8.5368 4.9287 1.0703
Pd 6.5651 3.7904 2.6802
Pd 10.5084 6.0671 4.2901
Pd 5.5824 0.0000 0.0000
Pd 2.9543 0.0000 0.0000
Pd 4.2684 5.6874 2.4122
Pd 4.2684 4.1700 4.5580
Pd 7.0596 0.8528 2.4122
Pd 1.4772 2.5585 0.0000
Pd 5.7455 1.6115 4.5580
Pd 2.7912 4.8345 0.0000
Pd 7.0596 2.5585 0.0000
Pd 5.7455 4.8345 0.0000
Pd 1.4772 0.8528 2.4122
Pd 2.7912 1.6115 4.5580

=====

! PBEsol DyPPt, optimized geometry; values from VASP
! **DFT total energy**: -7.3067 eV/atom
! **SG**: P-6m2 (187)
&SYSTEM
  ibrav = 0, nat = 3, ntyp = 3
/
ATOMIC_SPECIES
P 30.97 P.upf
Pt 195.08 Pt.upf
Dy 162.50 Dy.upf
CELL_PARAMETERS angstrom
-3.2367 -0.3171 -1.9662
0.8756 -3.9120 -0.8105
-2.1321 0.9659 3.3539
ATOMIC_POSITIONS angstrom
P -1.6184 -0.1585 -0.9831
Pt -2.7479 -0.8186 0.9827
Dy -0.1270 -2.2860 0.5776

=====

! PBEsol DyP2Pt8, optimized geometry; values from VASP
! **DFT total energy**: -7.2296 eV/atom
! **SG**: C2/m (12)
&SYSTEM
  ibrav = 0, nat = 11, ntyp = 3
/
ATOMIC_SPECIES
Dy 162.50 Dy.upf
P 30.97 P.upf
Pt 195.08 Pt.upf
CELL_PARAMETERS angstrom
-3.6775 1.5362 -0.0017
-2.2492 -0.2211 -5.8205
-4.6513 -5.9635 1.0496
ATOMIC_POSITIONS angstrom
Dy -5.2890 -2.3242 -2.3864
P -6.6791 -0.4844 -4.5113
P -3.8989 -4.1639 -0.2614
Pt -7.5300 -2.5213 -4.4232
Pt -2.4822 -0.7752 -2.6853
Pt -8.0958 -3.8731 -2.0874
Pt -4.1746 0.3451 -0.9037
Pt -4.3758 -0.1407 -4.6246
Pt -6.2022 -4.5076 -0.1481
Pt -3.0480 -2.1271 -0.3495
Pt -6.4033 -4.9934 -3.8690

=====

! PBEsol DyP2Ru2, optimized geometry; values from VASP
! **DFT total energy**: -8.4741 eV/atom
! **SG**: I4/mmm (139)
&SYSTEM
  ibrav = 0, nat = 5, ntyp = 3
/
ATOMIC_SPECIES
Ru 101.07 Ru.upf
Dy 162.50 Dy.upf
P 30.97 P.upf
CELL_PARAMETERS angstrom
-3.3050 2.2046 -0.4619
-2.2461 -3.1642 0.9689
2.9751 1.7339 4.3044
ATOMIC_POSITIONS angstrom
Ru -1.5527 1.7293 2.0480
Ru -1.0233 -0.9551 2.7634
Dy 0.0000 0.0000 0.0000
P -2.7260 -0.1684 1.3852
P 0.1500 0.9427 3.4262